NiW4: optimized geometry, PBE.

energy of formation	6.32	kcal/mol of atoms
VASP energy	-11.21	eV per atom
SG	P4_2/mnm, No. 136

CIF file:
```
data_NiW4
_cell_length_a 9.572
_cell_length_b 9.572
_cell_length_c 5.110
_cell_angle_alpha 90.00
_cell_angle_beta 90.00
_cell_angle_gamma 90.00
_space_group_name_H-M_alt 'P 1'
_space_group_IT_number 1
_space_group_name_Hall 'P 1'
loop_
_atom_site_label
_atom_site_fract_x
_atom_site_fract_y
_atom_site_fract_z
Ni1 0.000 0.000 0.000
Ni2 0.405 0.405 0.000
Ni3 0.595 0.595 0.000
Ni4 0.905 0.095 0.500
Ni5 0.500 0.500 0.500
Ni6 0.095 0.905 0.500
W1 0.744 0.063 0.000
W2 0.462 0.135 0.000
W3 0.937 0.256 0.000
W4 0.135 0.462 0.000
W5 0.865 0.538 0.000
W6 0.063 0.744 0.000
W7 0.538 0.865 0.000
W8 0.256 0.937 0.000
W9 0.186 0.186 0.250
W10 0.814 0.814 0.250
W11 0.686 0.314 0.250
W12 0.314 0.686 0.250
W13 0.635 0.038 0.500
W14 0.437 0.244 0.500
W15 0.962 0.365 0.500
W16 0.244 0.437 0.500
W17 0.756 0.563 0.500
W18 0.038 0.635 0.500
W19 0.563 0.756 0.500
W20 0.365 0.962 0.500
W21 0.686 0.314 0.750
W22 0.314 0.686 0.750
W23 0.186 0.186 0.750
W24 0.814 0.814 0.750
```